1.
The following is a meta-GGA SCAN calculation of a PBEsol-optimized structure of AgTe2WN, from Alexandria via LeMat-Bulk.

Unit cell a=3.779 b=5.380 c=5.380 alpha=90.00 beta=90.00 gamma=90.00
Positions (direct):
Te (0.000, 0.000, 0.500)
Te (0.000, 0.500, 0.000)
Ag (0.500, 0.500, 0.500)
W (0.000, 0.000, 0.000)
N (0.500, 0.000, 0.000)

VASP energy = -36.559 eV/atom
Magnetic moment = 0.0 μB/f.u.
Relative energy among the computed polymorphs = 0 meV per atom


2.
The following is a meta-GGA SCAN calculation of a PBEsol-optimized structure of Sr2MgCu, from Alexandria via LeMat-Bulk.

Unit cell a=3.715 b=5.594 c=6.656 alpha=114.85 beta=106.21 gamma=90.00
Positions (direct):
Cu (0.522, 0.522, 0.044)
Mg (0.190, 0.690, 0.379)
Sr (0.992, 0.992, 0.984)
Sr (0.797, 0.297, 0.593)

VASP energy = -16.130 eV/atom
Magnetic moment = 0.0 μB/f.u.


3.
The following is a meta-GGA SCAN calculation of a PBEsol-optimized structure of SiRuCl2, from Alexandria via LeMat-Bulk.

Unit cell a=3.006 b=3.925 c=7.155 alpha=105.92 beta=102.13 gamma=90.00
Each line ends with the local moment (μB).
Positions (direct):
Cl (0.850, 0.850, 0.700)  0.01
Cl (0.150, 0.150, 0.300)  0.01
Ru (0.500, 0.000, 0.000)  0.22
Si (0.000, 0.500, 0.000)  -0.01

VASP energy = -15.237 eV/atom
Magnetic moment = 0.2 μB/f.u.
Relative energy among the computed polymorphs = 48 meV per atom


Number 2 is which compound? Sr2MgCu


Which formula does entry 1 have? AgTe2WN